VASP calculation (PBE-GGA) on a relaxed structure of KIn2GaCl4.

Cell and atoms, written as POSCAR:
```
KIn2GaCl4
1.0
4.4757 0.0000 0.0000
0.0000 7.8249 -0.1862
0.0000 2.7232 7.2247
In K Cl Ga
2 1 4 1
Cartesian
2.2379 1.3616 3.6123
0.0000 2.7232 7.2247
0.0000 5.2740 3.5193
0.0001 7.8260 5.3400
2.2379 6.4654 1.6671
2.2379 4.0828 5.3714
4.4757 2.7221 1.6984
2.2379 3.9125 -0.0931
```

The calculation puts the density of states at the Fermi level at 0.0 states/eV/f.u. For the total magnetization, the calculation gives 0.0000 μB/atom. The value obtained for the raw total energy is -3.175 eV per atom. The symmetry is P2/m. The value obtained for the formation energy without anion corrections is -1052 meV/atom.